Entry 1:
Below is a relaxed CdIr2Rh crystal, with properties calculated at the PBE level.

ΔE_f ... 0.171 eV per atom
Total magnetization ... 0.00 μB per cell
Calculated total energy ... -25.31 eV for the cell shown
Volume ... 15.5 A^3/atom
SG ... I-4m2 (119)
Mass density ... 16048 kg/m3

Unit cell a=4.8152 b=4.8152 c=4.8152 alpha=131.08 beta=131.08 gamma=71.68
With the nearest neighbours (Å) after each atom.
Element x y z (fractional)
Ir 0.2500 0.7500 0.5000  4 Rh 2.79, 4 Ir 2.79, 4 Cd 2.82
Ir 0.0000 0.0000 0.0000  4 Cd 2.79, 4 Ir 2.79, 4 Rh 2.82
Cd 0.7500 0.2500 0.5000  8 Ir 2.79-2.82, 4 Rh 2.79
Rh 0.5000 0.5000 0.0000  4 Cd 2.79, 8 Ir 2.79-2.82


Entry 2:
Below is a relaxed CdIrRhS2 crystal, with properties calculated at the PBE level.

Total magnetization ... 3.44 μB per cell
Calculated total energy ... -16.49 eV for the cell shown
Formation energy (no corrections) ... 1.778 eV per atom
Volume ... 23.0 A^3/atom
SG ... P4/mmm (123)
Mass density ... 6816 kg/m3

Unit cell a=4.7496 b=5.0938 c=4.7496 alpha=90.00 beta=90.00 gamma=90.00
With the nearest neighbours (Å) after each atom.
Element x y z (fractional)
Cd 0.0000 0.0000 0.0000  4 S 2.37, 2 Ir 2.55
Rh 0.5000 0.5000 0.5000  4 Ir 3.36, 8 S 3.48
S 0.5000 0.0000 0.0000  2 Cd 2.37
S 0.0000 0.0000 0.5000  2 Cd 2.37
Ir 0.0000 0.5000 0.0000  2 Cd 2.55


Entry 3:
Below is a relaxed CdSb2IrRh crystal, with properties calculated at the PBE level.

Total magnetization ... 0.00 μB per cell
Calculated total energy ... -21.55 eV for the cell shown
Formation energy (no corrections) ... 0.765 eV per atom
Volume ... 24.5 A^3/atom
SG ... P4/mmm (123)
Mass density ... 8840 kg/m3

Unit cell a=4.9373 b=5.0172 c=4.9373 alpha=90.00 beta=90.00 gamma=90.00
With the nearest neighbours (Å) after each atom.
Element x y z (fractional)
Sb 0.0000 0.0000 0.5000  2 Rh 2.47
Sb 0.5000 0.0000 0.0000  2 Rh 2.47
Cd 0.0000 0.5000 0.0000  2 Rh 2.51
Ir 0.5000 0.5000 0.5000  4 Cd 3.49, 8 Sb 3.52
Rh 0.0000 0.0000 0.0000  4 Sb 2.47, 2 Cd 2.51


Entry 4:
Below is a relaxed Sc2CdIrRh crystal, with properties calculated at the PBE level.

ΔE_f ... 0.138 eV per atom
Total magnetization ... 0.00 μB per cell
Calculated total energy ... -29.10 eV for the cell shown
Volume ... 23.2 A^3/atom
SG ... P4/mmm (123)
Mass density ... 7107 kg/m3

Unit cell a=4.9269 b=4.7882 c=4.9269 alpha=90.00 beta=90.00 gamma=90.00
With the nearest neighbours (Å) after each atom.
Element x y z (fractional)
Sc 0.5000 0.0000 0.0000  2 Rh 2.46
Sc 0.0000 0.0000 0.5000  2 Rh 2.46
Rh 0.0000 0.0000 0.0000  2 Ir 2.39, 4 Sc 2.46
Cd 0.5000 0.5000 0.5000  8 Sc 3.44, 4 Ir 3.48
Ir 0.0000 0.5000 0.0000  2 Rh 2.39


Entry 5:
Below is a relaxed CdSnIr2Rh crystal, with properties calculated at the PBE level.

ΔE_f ... 1.729 eV per atom
Total magnetization ... 1.91 μB per cell
Calculated total energy ... -21.35 eV for the cell shown
Volume ... 24.1 A^3/atom
SG ... P4/mmm (123)
Mass density ... 9900 kg/m3

Unit cell a=4.8403 b=5.1436 c=4.8403 alpha=90.00 beta=90.00 gamma=90.00
With the nearest neighbours (Å) after each atom.
Element x y z (fractional)
Sn 0.0000 0.0000 0.0000  4 Ir 2.42, 2 Cd 2.57
Cd 0.0000 0.5000 0.0000  2 Sn 2.57
Ir 0.0000 0.0000 0.5000  2 Sn 2.42
Ir 0.5000 0.0000 0.0000  2 Sn 2.42
Rh 0.5000 0.5000 0.5000  4 Cd 3.42, 8 Ir 3.53


Entry 6:
Below is a relaxed CdSnIrRh crystal, with properties calculated at the PBE level.

ΔE_f ... -0.142 eV per atom
Total magnetization ... 0.00 μB per cell
Calculated total energy ... -21.70 eV for the cell shown
Volume ... 17.0 A^3/atom
SG ... F-43m (216)
Mass density ... 12855 kg/m3

Unit cell a=4.5810 b=4.5810 c=4.5810 alpha=60.00 beta=60.00 gamma=60.00
With the nearest neighbours (Å) after each atom.
Element x y z (fractional)
Ir 0.0000 0.0000 0.0000  4 Cd 2.81, 4 Sn 2.81
Cd 0.7500 0.7500 0.7500  4 Rh 2.81, 4 Ir 2.81
Sn 0.2500 0.2500 0.2500  4 Rh 2.81, 4 Ir 2.81
Rh 0.5000 0.5000 0.5000  4 Cd 2.81, 4 Sn 2.81


Entry 7:
Below is a relaxed TaCdIrRh crystal, with properties calculated at the PBE level.

ΔE_f ... -0.281 eV per atom
Total magnetization ... 0.00 μB per cell
Calculated total energy ... -30.11 eV for the cell shown
Volume ... 16.4 A^3/atom
SG ... F-43m (216)
Mass density ... 14874 kg/m3

Unit cell a=4.5292 b=4.5292 c=4.5292 alpha=60.00 beta=60.00 gamma=60.00
With the nearest neighbours (Å) after each atom.
Element x y z (fractional)
Ir 0.7500 0.7500 0.7500  4 Ta 2.77, 4 Cd 2.77
Rh 0.2500 0.2500 0.2500  4 Cd 2.77, 4 Ta 2.77
Cd 0.0000 0.0000 0.0000  4 Rh 2.77, 4 Ir 2.77
Ta 0.5000 0.5000 0.5000  4 Ir 2.77, 4 Rh 2.77


Entry 8:
Below is a relaxed TbCdIrRh crystal, with properties calculated at the PBE level.

ΔE_f ... -0.418 eV per atom
Total magnetization ... 0.00 μB per cell
Calculated total energy ... -23.43 eV for the cell shown
Volume ... 18.5 A^3/atom
SG ... F-43m (216)
Mass density ... 12688 kg/m3

Unit cell a=4.7153 b=4.7153 c=4.7153 alpha=60.00 beta=60.00 gamma=60.00
With the nearest neighbours (Å) after each atom.
Element x y z (fractional)
Cd 0.7500 0.7500 0.7500  4 Rh 2.89, 4 Ir 2.89
Rh 0.5000 0.5000 0.5000  4 Cd 2.89, 4 Tb 2.89
Ir 0.0000 0.0000 0.0000  4 Cd 2.89, 4 Tb 2.89
Tb 0.2500 0.2500 0.2500  4 Ir 2.89, 4 Rh 2.89


Entry 9:
Below is a relaxed Th2CdIr2Rh5 crystal, with properties calculated at the PBE level.

ΔE_f ... -0.500 eV per atom
Total magnetization ... 0.00 μB per cell
Calculated total energy ... -150.46 eV for the cell shown
Volume ... 18.6 A^3/atom
SG ... P4/mbm (127)
Mass density ... 13190 kg/m3

Unit cell a=4.1363 b=9.4771 c=9.4771 alpha=90.00 beta=90.00 gamma=90.00
With the nearest neighbours (Å) after each atom.
Element x y z (fractional)
Th 0.0000 0.6676 0.1676  3 Ir 2.71-2.84
Th 0.0000 0.3325 0.8324  3 Ir 2.71-2.84
Th 0.0000 0.1676 0.3325  3 Ir 2.71-2.84
Th 0.0000 0.8324 0.6676  3 Ir 2.71-2.84
Ir 0.0000 0.8698 0.3698  6 Rh 2.66-2.71, 3 Th 2.71-2.84
Ir 0.0000 0.1302 0.6302  6 Rh 2.66-2.71, 3 Th 2.71-2.84
Ir 0.0000 0.3698 0.1302  6 Rh 2.66-2.71, 3 Th 2.71-2.84
Ir 0.0000 0.6302 0.8698  6 Rh 2.66-2.71, 3 Th 2.71-2.84
Cd 0.0000 0.0000 0.0000  8 Rh 2.91
Cd 0.0000 0.5000 0.5000  8 Rh 2.91
Rh 0.5000 0.2034 0.0713  2 Ir 2.66, 3 Rh 2.89, 2 Cd 2.91
Rh 0.5000 0.2966 0.5713  2 Ir 2.66, 3 Rh 2.89, 2 Cd 2.91
Rh 0.5000 0.0713 0.7966  2 Ir 2.66, 3 Rh 2.89, 2 Cd 2.91
Rh 0.5000 0.9287 0.2034  2 Ir 2.66, 3 Rh 2.89, 2 Cd 2.91
Rh 0.5000 0.5000 0.0000  4 Ir 2.71, 4 Rh 2.89
Rh 0.5000 0.4287 0.2966  2 Ir 2.66, 3 Rh 2.89, 2 Cd 2.91
Rh 0.5000 0.7034 0.4287  2 Ir 2.66, 3 Rh 2.89, 2 Cd 2.91
Rh 0.5000 0.0000 0.5000  4 Ir 2.71, 4 Rh 2.89
Rh 0.5000 0.5713 0.7034  2 Ir 2.66, 3 Rh 2.89, 2 Cd 2.91
Rh 0.5000 0.7966 0.9287  2 Ir 2.66, 3 Rh 2.89, 2 Cd 2.91


Entry 10:
Below is a relaxed Tm4CdIr2Rh crystal, with properties calculated at the PBE level.

ΔE_f ... -0.790 eV per atom
Total magnetization ... 0.00 μB per cell
Calculated total energy ... -50.19 eV for the cell shown
Volume ... 20.5 A^3/atom
SG ... R-3m (166)
Mass density ... 12913 kg/m3

Unit cell a=4.8740 b=4.8740 c=8.4548 alpha=73.25 beta=73.25 gamma=60.00
With the nearest neighbours (Å) after each atom.
Element x y z (fractional)
Ir 0.7488 0.7488 0.7536  8 Tm 2.92-3.09
Ir 0.2512 0.2512 0.2464  8 Tm 2.92-3.09
Rh 0.5000 0.5000 0.5000  8 Tm 2.86-2.95
Tm 0.1292 0.1292 0.6125  4 Ir 2.92-3.03, 3 Rh 2.95, 1 Cd 3.09
Tm 0.8708 0.8708 0.3875  4 Ir 2.92-3.03, 3 Rh 2.95, 1 Cd 3.09
Tm 0.6196 0.6196 0.1411  1 Rh 2.86, 4 Ir 2.94-3.09, 3 Cd 3.03
Tm 0.3804 0.3804 0.8589  1 Rh 2.86, 4 Ir 2.94-3.09, 3 Cd 3.03
Cd 0.0000 0.0000 0.0000  8 Tm 3.03-3.09


Entry 11:
Below is a relaxed CdIrRu crystal, with properties calculated at the PBE level.

ΔE_f ... 0.391 eV per atom
Total magnetization ... 0.95 μB per cell
Calculated total energy ... -17.88 eV for the cell shown
Volume ... 16.3 A^3/atom
SG ... Fmm2 (42)
Mass density ... 13793 kg/m3

Unit cell a=7.5983 b=7.3421 c=2.7899 alpha=84.46 beta=74.11 gamma=21.44
With the nearest neighbours (Å) after each atom.
Element x y z (fractional)
Ir 0.3261 0.3261 0.6739  2 Ru 2.61, 6 Ir 2.79-2.81, 2 Cd 2.88
Cd 0.0002 0.0002 0.9998  6 Cd 2.79-2.81, 2 Ru 2.87, 2 Ir 2.88
Ru 0.6737 0.6737 0.3263  2 Ir 2.61, 6 Ru 2.79-2.81, 2 Cd 2.87


Entry 12:
Below is a relaxed CdIrRu2 crystal, with properties calculated at the PBE level.

ΔE_f ... 0.278 eV per atom
Total magnetization ... 0.36 μB per cell
Calculated total energy ... -27.22 eV for the cell shown
Volume ... 15.5 A^3/atom
SG ... Cm (8)
Mass density ... 13596 kg/m3

Unit cell a=4.8254 b=4.8254 c=4.9077 alpha=80.76 beta=80.76 gamma=33.33
With the nearest neighbours (Å) after each atom.
Element x y z (fractional)
Ru 0.7393 0.7393 0.7791  2 Ir 2.65, 5 Ru 2.67-2.79, 3 Cd 2.80-2.92
Ru 0.0004 0.0004 0.9930  5 Ru 2.67-2.79, 3 Ir 2.71-2.84, 4 Cd 2.80-2.84
Ir 0.2600 0.2600 0.2305  5 Ru 2.65-2.84, 3 Cd 2.76-2.89, 2 Ir 2.77
Cd 0.5004 0.5004 0.4973  3 Ir 2.76-2.89, 2 Cd 2.77, 7 Ru 2.80-2.92


Entry 13:
Below is a relaxed Cd2IrRu crystal, with properties calculated at the PBE level.

ΔE_f ... 0.455 eV per atom
Total magnetization ... 1.45 μB per cell
Calculated total energy ... -18.15 eV for the cell shown
Volume ... 17.0 A^3/atom
SG ... P4/mmm (123)
Mass density ... 12621 kg/m3

Unit cell a=4.6463 b=4.6463 c=3.1577 alpha=90.00 beta=90.00 gamma=90.00
With the nearest neighbours (Å) after each atom.
Element x y z (fractional)
Ru 0.0000 0.5000 0.5000  8 Cd 2.81
Cd 0.5000 0.5000 0.0000  4 Ru 2.81, 4 Ir 2.81
Cd 0.0000 0.0000 0.0000  4 Ru 2.81, 4 Ir 2.81
Ir 0.5000 0.0000 0.5000  8 Cd 2.81


Entry 14:
Below is a relaxed Cd2IrRu crystal, with properties calculated at the PBE level.

ΔE_f ... 0.381 eV per atom
Total magnetization ... 0.92 μB per cell
Calculated total energy ... -18.44 eV for the cell shown
Volume ... 17.0 A^3/atom
SG ... Cmmm (65)
Mass density ... 12663 kg/m3

Unit cell a=2.8298 b=2.8298 c=9.4606 alpha=90.00 beta=90.00 gamma=116.26
With the nearest neighbours (Å) after each atom.
Element x y z (fractional)
Cd 0.0000 0.0000 0.5000  2 Ir 2.80, 2 Ru 2.80, 6 Cd 2.83-2.99
Cd 0.0000 0.0000 0.0000  2 Ir 2.80, 2 Ru 2.80, 6 Cd 2.83-2.99
Ir 0.5000 0.5000 0.2500  4 Cd 2.80, 6 Ir 2.83-2.99
Ru 0.5000 0.5000 0.7500  4 Cd 2.80, 6 Ru 2.83-2.99


Entry 15:
Below is a relaxed CdIrRu crystal, with properties calculated at the PBE level.

ΔE_f ... 0.197 eV per atom
Total magnetization ... 0.00 μB per cell
Calculated total energy ... -18.46 eV for the cell shown
Volume ... 15.9 A^3/atom
SG ... P3m1 (156)
Mass density ... 14091 kg/m3

Unit cell a=2.8109 b=2.8109 c=6.9867 alpha=90.00 beta=90.00 gamma=120.00
With the nearest neighbours (Å) after each atom.
Element x y z (fractional)
Cd 0.0000 0.0000 0.9983  6 Cd 2.81, 3 Ru 2.93, 3 Ir 2.96
Ir 0.3333 0.6667 0.3531  3 Ru 2.63, 6 Ir 2.81
Ru 0.6667 0.3333 0.6486  3 Ir 2.63, 6 Ru 2.81, 3 Cd 2.93


Entry 16:
Below is a relaxed CdIrRu4 crystal, with properties calculated at the PBE level.

ΔE_f ... 0.613 eV per atom
Total magnetization ... 2.27 μB per cell
Calculated total energy ... -43.20 eV for the cell shown
Volume ... 15.8 A^3/atom
SG ... F-43m (216)
Mass density ... 12433 kg/m3

Unit cell a=5.1160 b=5.1160 c=5.1160 alpha=60.00 beta=60.00 gamma=60.00
With the nearest neighbours (Å) after each atom.
Element x y z (fractional)
Cd 0.2500 0.2500 0.2500  12 Ru 3.00, 4 Ir 3.13
Ir 0.0000 0.0000 0.0000  12 Ru 3.00, 4 Cd 3.13
Ru 0.1238 0.6254 0.6254  6 Ru 2.55-2.57
Ru 0.6254 0.6254 0.1238  6 Ru 2.55-2.57
Ru 0.6254 0.6254 0.6254  6 Ru 2.55-2.57
Ru 0.6254 0.1238 0.6254  6 Ru 2.55-2.57


Entry 17:
Below is a relaxed CdIrRu2 crystal, with properties calculated at the PBE level.

ΔE_f ... 0.437 eV per atom
Total magnetization ... 1.62 μB per cell
Calculated total energy ... -26.58 eV for the cell shown
Volume ... 15.8 A^3/atom
SG ... Cmm2 (35)
Mass density ... 13336 kg/m3

Unit cell a=2.7579 b=2.7579 c=9.4589 alpha=90.00 beta=90.00 gamma=118.71
With the nearest neighbours (Å) after each atom.
Element x y z (fractional)
Ru 0.5000 0.5000 0.2347  8 Ru 2.61-2.81, 2 Cd 2.87
Ru 0.0000 0.0000 0.0028  8 Ru 2.61-2.81, 2 Ir 2.67
Cd 0.0000 0.0000 0.4994  6 Cd 2.76-2.81, 2 Ir 2.86, 2 Ru 2.87
Ir 0.5000 0.5000 0.7630  2 Ru 2.67, 6 Ir 2.76-2.81, 2 Cd 2.86


Entry 18:
Below is a relaxed Cd2IrRu crystal, with properties calculated at the PBE level.

ΔE_f ... 0.413 eV per atom
Total magnetization ... 1.84 μB per cell
Calculated total energy ... -18.32 eV for the cell shown
Volume ... 17.1 A^3/atom
SG ... I4/mmm (139)
Mass density ... 12546 kg/m3

Unit cell a=5.0725 b=5.0725 c=5.0725 alpha=132.99 beta=132.99 gamma=68.67
With the nearest neighbours (Å) after each atom.
Element x y z (fractional)
Cd 0.5000 0.5000 0.0000  4 Cd 2.86, 4 Ru 2.91, 4 Ir 2.91
Cd 0.0000 0.0000 0.0000  4 Cd 2.86, 4 Ir 2.91, 4 Ru 2.91
Ru 0.7500 0.2500 0.5000  4 Ir 2.86, 8 Cd 2.91
Ir 0.2500 0.7500 0.5000  4 Ru 2.86, 8 Cd 2.91


Entry 19:
Below is a relaxed Cd2IrRu crystal, with properties calculated at the PBE level.

ΔE_f ... 0.274 eV per atom
Total magnetization ... 0.31 μB per cell
Calculated total energy ... -18.87 eV for the cell shown
Volume ... 17.0 A^3/atom
SG ... Cm (8)
Mass density ... 12633 kg/m3

Unit cell a=4.9696 b=4.9696 c=5.0442 alpha=79.65 beta=79.65 gamma=33.82
With the nearest neighbours (Å) after each atom.
Element x y z (fractional)
Cd 0.0071 0.0071 0.0004  5 Cd 2.77-2.97, 4 Ir 2.83-3.00, 3 Ru 2.93-2.94
Cd 0.2429 0.2429 0.2495  5 Cd 2.77-2.97, 4 Ru 2.83-2.99, 3 Ir 2.93-2.94
Ru 0.7619 0.7619 0.7240  2 Ir 2.63, 5 Cd 2.83-2.94, 2 Ru 2.89
Ir 0.4881 0.4881 0.5261  2 Ru 2.63, 5 Cd 2.83-2.94, 2 Ir 2.89


Entry 20:
Below is a relaxed CdIrRu2 crystal, with properties calculated at the PBE level.

ΔE_f ... 0.403 eV per atom
Total magnetization ... 0.00 μB per cell
Calculated total energy ... -26.72 eV for the cell shown
Volume ... 16.0 A^3/atom
SG ... Immm (71)
Mass density ... 13111 kg/m3

Unit cell a=5.6402 b=5.6402 c=5.6402 alpha=151.32 beta=131.37 gamma=57.44
With the nearest neighbours (Å) after each atom.
Element x y z (fractional)
Ir 0.2500 0.7500 0.5000  4 Ru 2.62, 4 Cd 2.71, 2 Ir 2.79
Ru 0.4735 0.4735 0.0000  2 Ir 2.62, 6 Ru 2.76-2.79
Ru 0.0265 0.0265 0.0000  2 Ir 2.62, 6 Ru 2.76-2.79
Cd 0.7500 0.2500 0.5000  4 Ir 2.71, 2 Cd 2.79